[1]
The following is a DFT calculation (PBE) of a relaxed structure of CsBe2BF.

Unit cell a=3.772 b=3.772 c=8.295 alpha=90.00 beta=90.00 gamma=90.00
Space group P4/mmm (No. 123)
Inequivalent atoms, fractional coordinates:
1 Cs 0.000 0.000 0.000 (multiplicity 1)
2 Be 0.000 0.500 0.500 (multiplicity 2)
3 B 0.500 0.500 0.500 (multiplicity 1)
4 F 0.500 0.500 0.000 (multiplicity 1)

Calculated values
Formation energy without anion corrections in eV/atom: -0.352
Total energy in eV/f.u.: -18.6


[2]
The following is a DFT calculation (PBE) of a relaxed structure of CsBe2BO3F2.

Unit cell a=4.4854 b=4.4854 c=21.8782 alpha=90.00 beta=90.00 gamma=120.00
Space group R32 (No. 155, hexagonal axes)
Inequivalent atoms, fractional coordinates:
1 Cs 0.0000 0.0000 0.0000 (multiplicity 3)
2 Be 0.0000 0.0000 0.1925 (multiplicity 6)
3 B 0.0000 0.0000 0.5000 (multiplicity 3)
4 O 0.0000 0.6917 0.5000 (multiplicity 9)
5 F 0.0000 0.0000 0.2634 (multiplicity 6)

Calculated values
Formation energy without anion corrections in eV/atom: -2.848
Total energy in eV/f.u.: -59.2


[3]
The following is a DFT calculation (PBE) of a relaxed structure of CsBe2FeB.

Unit cell a=3.806 b=3.806 c=6.194 alpha=90.00 beta=90.00 gamma=90.00
Space group P4/mmm (No. 123)
Inequivalent atoms, fractional coordinates:
1 Cs 0.000 0.000 0.000 (multiplicity 1)
2 Be 0.000 0.500 0.500 (multiplicity 2)
3 Fe 0.500 0.500 0.000 (multiplicity 1)
4 B 0.000 0.000 0.500 (multiplicity 1)

Calculated values
Energy relative to the elements in eV/atom: 1.41
Total energy in eV/f.u.: -16.4


[4]
The following is a DFT calculation (PBE) of a relaxed structure of CsBeBH6.

Unit cell a=3.9778 b=3.9778 c=6.2001 alpha=90.00 beta=90.00 gamma=120.00
Space group P312 (No. 149)
Inequivalent atoms, fractional coordinates:
1 Cs 0.0000 0.0000 0.0000 (multiplicity 1)
2 Be 0.3333 0.6667 0.5000 (multiplicity 1)
3 B 0.6667 0.3333 0.5000 (multiplicity 1)
4 H 0.3777 0.0302 0.6323 (multiplicity 6)

Calculated values
Total energy in eV/f.u.: -29.8


[5]
The following is a DFT calculation (PBE) of a relaxed structure of CsBeB2H8.

Unit cell a=4.8610 b=4.8610 c=20.0510 alpha=90.00 beta=90.00 gamma=120.00
Space group R-3m (No. 166, hexagonal axes)
Inequivalent atoms, fractional coordinates:
1 Cs 0.0000 0.0000 0.0000 (multiplicity 3)
2 Be 0.0000 0.0000 0.5000 (multiplicity 3)
3 B 0.0000 0.0000 0.2337 (multiplicity 6)
4 H 0.0000 0.0000 0.2947 (multiplicity 6)
5 H 0.0506 0.5253 0.8789 (multiplicity 18)

Calculated values
Total energy in eV/f.u.: -44.6


[6]
The following is a DFT calculation (PBE) of a relaxed structure of CsBeB2H.

Unit cell a=5.030 b=5.030 c=3.772 alpha=90.00 beta=90.00 gamma=90.00
Space group P4/mmm (No. 123)
Inequivalent atoms, fractional coordinates:
1 Cs 0.000 0.000 0.000 (multiplicity 1)
2 Be 0.500 0.500 0.500 (multiplicity 1)
3 B 0.000 0.500 0.000 (multiplicity 2)
4 H 0.000 0.000 0.500 (multiplicity 1)

Calculated values
Total energy in eV/f.u.: -6.6


[7]
The following is a DFT calculation (PBE) of a relaxed structure of Cs2HfBeB.

Unit cell a=7.507 b=7.507 c=4.319 alpha=90.00 beta=90.00 gamma=90.00
Space group P4/mmm (No. 123)
Inequivalent atoms, fractional coordinates:
1 Cs 0.000 0.500 0.000 (multiplicity 2)
2 Hf 0.000 0.000 0.000 (multiplicity 1)
3 Be 0.500 0.500 0.500 (multiplicity 1)
4 B 0.000 0.000 0.500 (multiplicity 1)

Calculated values
Energy relative to the elements in eV/atom: 1.56
Total energy in eV/f.u.: -14.3


[8]
The following is a DFT calculation (PBE) of a relaxed structure of Cs2LiBeB.

Unit cell a=7.167 b=7.167 c=3.719 alpha=90.00 beta=90.00 gamma=90.00
Space group P4/mmm (No. 123)
Inequivalent atoms, fractional coordinates:
1 Cs 0.000 0.500 0.000 (multiplicity 2)
2 Li 0.000 0.000 0.500 (multiplicity 1)
3 Be 0.500 0.500 0.500 (multiplicity 1)
4 B 0.500 0.500 0.000 (multiplicity 1)

Calculated values
Energy relative to the elements in eV/atom: 0.68
Total energy in eV/f.u.: -10.6


[9]
The following is a DFT calculation (PBE) of a relaxed structure of Cs2BeBPb.

Unit cell a=7.181 b=7.181 c=3.676 alpha=90.00 beta=90.00 gamma=90.00
Space group P4/mmm (No. 123)
Inequivalent atoms, fractional coordinates:
1 Cs 0.000 0.500 0.000 (multiplicity 2)
2 Be 0.000 0.000 0.000 (multiplicity 1)
3 B 0.000 0.000 0.500 (multiplicity 1)
4 Pb 0.500 0.500 0.500 (multiplicity 1)

Calculated values
Energy relative to the elements in eV/atom: 0.69
Total energy in eV/f.u.: -12.4


[10]
The following is a DFT calculation (PBE) of a relaxed structure of CsBeBPt2.

Unit cell a=4.491 b=4.491 c=4.743 alpha=90.00 beta=90.00 gamma=90.00
Space group P4/mmm (No. 123)
Inequivalent atoms, fractional coordinates:
1 Cs 0.000 0.000 0.000 (multiplicity 1)
2 Be 0.500 0.500 0.500 (multiplicity 1)
3 B 0.500 0.500 0.000 (multiplicity 1)
4 Pt 0.000 0.500 0.500 (multiplicity 2)

Calculated values
Energy relative to the elements in eV/atom: 0.93
Total energy in eV/f.u.: -18.7


[11]
The following is a DFT calculation (PBE) of a relaxed structure of CsBe2BRu.

Unit cell a=4.657 b=4.657 c=4.214 alpha=90.00 beta=90.00 gamma=90.00
Space group P4/mmm (No. 123)
Inequivalent atoms, fractional coordinates:
1 Cs 0.000 0.000 0.000 (multiplicity 1)
2 Be 0.000 0.500 0.500 (multiplicity 2)
3 B 0.500 0.500 0.000 (multiplicity 1)
4 Ru 0.500 0.500 0.500 (multiplicity 1)

Calculated values
Energy relative to the elements in eV/atom: 0.76
Total energy in eV/f.u.: -20.5


[12]
The following is a DFT calculation (PBE) of a relaxed structure of BeCuB3.

Unit cell a=3.598 b=3.598 c=3.598 alpha=90.00 beta=90.00 gamma=90.00
Space group Pm-3m (No. 221)
Inequivalent atoms, fractional coordinates:
1 Be 0.000 0.000 0.000 (multiplicity 1)
2 Cu 0.500 0.500 0.500 (multiplicity 1)
3 B 0.000 0.000 0.500 (multiplicity 3)

Calculated values
Energy relative to the elements in eV/atom: 1.54
Total energy in eV/f.u.: -20.2


[13]
The following is a DFT calculation (PBE) of a relaxed structure of Be2CuB.

Unit cell a=3.241 b=3.241 c=3.127 alpha=90.00 beta=90.00 gamma=90.00
Space group P4/mmm (No. 123)
Inequivalent atoms, fractional coordinates:
1 Be 0.000 0.500 0.000 (multiplicity 2)
2 Cu 0.000 0.000 0.500 (multiplicity 1)
3 B 0.500 0.500 0.500 (multiplicity 1)

Calculated values
Energy relative to the elements in eV/atom: 0.22
Total energy in eV/f.u.: -17.4


[14]
The following is a DFT calculation (PBE) of a relaxed structure of BeCuB2.

Unit cell a=5.989 b=5.989 c=3.933 alpha=90.00 beta=90.00 gamma=90.00
Space group I-42d (No. 122)
Inequivalent atoms, fractional coordinates:
1 Be 0.000 0.000 0.000 (multiplicity 4)
2 Cu 0.000 0.000 0.500 (multiplicity 4)
3 B 0.245 0.250 0.125 (multiplicity 8)

Calculated values
Energy relative to the elements in eV/atom: 1.04
Total energy in eV/f.u.: -17.0


[15]
The following is a DFT calculation (PBE) of a relaxed structure of BeCu2B.

Unit cell a=3.605 b=3.605 c=2.807 alpha=90.00 beta=90.00 gamma=90.00
Space group P4/mmm (No. 123)
Inequivalent atoms, fractional coordinates:
1 Be 0.000 0.000 0.000 (multiplicity 1)
2 Cu 0.000 0.500 0.500 (multiplicity 2)
3 B 0.500 0.500 0.000 (multiplicity 1)

Calculated values
Energy relative to the elements in eV/atom: 0.28
Total energy in eV/f.u.: -17.5


[16]
The following is a DFT calculation (PBE) of a relaxed structure of BeCu2B.

Unit cell a=5.261 b=5.261 c=5.261 alpha=90.00 beta=90.00 gamma=90.00
Space group Fm-3m (No. 225)
Inequivalent atoms, fractional coordinates:
1 Be 0.000 0.000 0.000 (multiplicity 4)
2 Cu 0.250 0.250 0.250 (multiplicity 8)
3 B 0.000 0.000 0.500 (multiplicity 4)

Calculated values
Energy relative to the elements in eV/atom: 0.24
Total energy in eV/f.u.: -17.6


[17]
The following is a DFT calculation (PBE) of a relaxed structure of Be2CuB.

Unit cell a=3.348 b=3.348 c=13.739 alpha=90.00 beta=90.00 gamma=90.00
Space group I-42d (No. 122)
Inequivalent atoms, fractional coordinates:
1 Be 0.183 0.250 0.125 (multiplicity 8)
2 Cu 0.000 0.000 0.500 (multiplicity 4)
3 B 0.000 0.000 0.000 (multiplicity 4)

Calculated values
Energy relative to the elements in eV/atom: 0.59
Total energy in eV/f.u.: -15.9


[18]
The following is a DFT calculation (PBE) of a relaxed structure of Be2CuB.

Unit cell a=2.3857 b=2.3857 c=22.2826 alpha=90.00 beta=90.00 gamma=120.00
Space group R-3m (No. 166, hexagonal axes)
Inequivalent atoms, fractional coordinates:
1 Be 0.0000 0.0000 0.1010 (multiplicity 6)
2 Cu 0.0000 0.0000 0.0000 (multiplicity 3)
3 B 0.0000 0.0000 0.5000 (multiplicity 3)

Calculated values
Energy relative to the elements in eV/atom: 0.49
Total energy in eV/f.u.: -16.3


[19]
The following is a DFT calculation (PBE) of a relaxed structure of BeCu2B.

Unit cell a=6.983 b=6.983 c=3.785 alpha=90.00 beta=90.00 gamma=90.00
Space group I-42d (No. 122)
Inequivalent atoms, fractional coordinates:
1 Be 0.000 0.000 0.000 (multiplicity 4)
2 Cu 0.125 0.250 0.625 (multiplicity 8)
3 B 0.000 0.000 0.500 (multiplicity 4)

Calculated values
Energy relative to the elements in eV/atom: 0.45
Total energy in eV/f.u.: -16.8


[20]
The following is a DFT calculation (PBE) of a relaxed structure of BeCuB3.

Unit cell a=3.811 b=3.811 c=3.811 alpha=90.00 beta=90.00 gamma=90.00
Space group Pm-3m (No. 221)
Inequivalent atoms, fractional coordinates:
1 Be 0.000 0.000 0.000 (multiplicity 1)
2 Cu 0.500 0.500 0.500 (multiplicity 1)
3 B 0.000 0.500 0.500 (multiplicity 3)

Calculated values
Energy relative to the elements in eV/atom: 1.81
Total energy in eV/f.u.: -18.8